# 1
LuZr2Sc3Te2Os after structural relaxation. Source: the Open Quantum Materials Database, functional PBE.

Properties
Calculated volume: 22.11 Å³ per atom
Total DFT energy (no corrections): -0.5212 Ry/atom
Crystal system: orthorhombic

POSCAR file:
```
LuZr2Sc3Te2Os
1.0
3.781 0.000 0.000
0.000 6.887 3.822
0.000 -6.887 3.822
Lu Zr Sc Te Os
1 2 3 2 1
direct
0.000 0.000 0.000
0.000 0.390 0.788
0.000 0.788 0.390
0.500 0.155 0.400
0.500 0.400 0.155
0.500 0.630 0.630
0.500 0.059 0.720
0.500 0.720 0.059
0.000 0.378 0.378
```

# 2
CsCuSb after structural relaxation. Source: the Open Quantum Materials Database, functional PBE.

Properties
Calculated volume: 44.12 Å³ per atom
Energy above the lowest structure with this stoichiometry: 675 meV per atom
Crystal system: cubic

POSCAR file:
```
CsCuSb
1.0
0.000 4.045 4.045
4.045 0.000 4.045
4.045 4.045 0.000
Cs Cu Sb
1 1 1
direct
0.000 0.000 0.000
0.750 0.750 0.750
0.250 0.250 0.250
```

# 3
InAgTePdS2 after structural relaxation. Source: the Open Quantum Materials Database, functional PBE.

Properties
Calculated volume: 22.98 Å³ per atom
Total DFT energy (no corrections): -0.2828 Ry/atom
Crystal system: orthorhombic

POSCAR file:
```
InAgTePdS2
1.0
1.724 -7.298 0.000
1.724 7.298 0.000
0.000 0.000 10.958
In Ag Te Pd S
2 2 2 2 4
direct
0.170 0.830 0.750
0.830 0.170 0.250
0.177 0.823 0.250
0.823 0.177 0.750
0.487 0.513 0.750
0.513 0.487 0.250
0.500 0.500 0.000
0.500 0.500 0.500
0.114 0.886 0.507
0.114 0.886 0.993
0.886 0.114 0.007
0.886 0.114 0.493
```

Q: Which of these has the highest calculated volume?
A: CsCuSb

Q: Which of these has the lowest calculated volume?
A: LuZr2Sc3Te2Os

Please write out number 3 again, unchanged.
InAgTePdS2 after structural relaxation. Source: the Open Quantum Materials Database, functional PBE.

Properties
Calculated volume: 22.98 Å³ per atom
Total DFT energy (no corrections): -0.2828 Ry/atom
Crystal system: orthorhombic

POSCAR file:
```
InAgTePdS2
1.0
1.724 -7.298 0.000
1.724 7.298 0.000
0.000 0.000 10.958
In Ag Te Pd S
2 2 2 2 4
direct
0.170 0.830 0.750
0.830 0.170 0.250
0.177 0.823 0.250
0.823 0.177 0.750
0.487 0.513 0.750
0.513 0.487 0.250
0.500 0.500 0.000
0.500 0.500 0.500
0.114 0.886 0.507
0.114 0.886 0.993
0.886 0.114 0.007
0.886 0.114 0.493
```

Q: What is the calculated volume in the second record?
A: 44.12 Å³ per atom